Computed, not measured: a relaxed structure of HoGaPtRh at the PBE-GGA level of DFT.

Output
The formation energy from the elements comes out at -0.84 eV per atom. Its total magnetization is 0.00 μB/cell. Its space-group type is F-43m.

Lattice parameters (Å, degrees): 4.6187 4.6187 4.6187 60.00 60.00 60.00
Last column: nearest neighbours and their distance in Å.
Atoms (fractional coordinates):
1 Ho 0.2500 0.2500 0.2500  4 Rh 2.83, 4 Pt 2.83
2 Ga 0.7500 0.7500 0.7500  4 Pt 2.83, 4 Rh 2.83
3 Rh 0.5000 0.5000 0.5000  4 Ho 2.83, 4 Ga 2.83
4 Pt 0.0000 0.0000 0.0000  4 Ho 2.83, 4 Ga 2.83